The following is a GGA-PBE calculation of a geometry-optimized AgWBr3 structure, from the Alexandria database.

a = 5.2403 Å, b = 5.2403 Å, c = 5.2403 Å
α = 90.00°, β = 90.00°, γ = 90.00°
Fractional positions:
Ag (0.0000, 0.0000, 0.0000)
W (0.5000, 0.5000, 0.5000)
Br (0.0000, 0.5000, 0.5000)
Br (0.5000, 0.0000, 0.5000)
Br (0.5000, 0.5000, 0.0000)

* formation energy from raw total energies: 464 meV per atom
* uncorrected energy: -3.701 eV per atom
* distance to the lowest polymorph of the same formula: 0 meV per atom
* space-group type: No. 221